[1]
Here is a relaxed structure of FeSnGe2 from Alexandria. Energies are from PBE-GGA.

Output
Energy in Ry/atom: -0.38989
Crystal system: trigonal
SG: R-3m
Formation energy from the elements in meV per atom: 120

a b c (Å): 3.1649 3.1649 26.2077
angles (deg): 90.00 90.00 120.00
Fractional coordinates of all 12 atoms:
Fe (0.0000, 0.0000, 0.0000)
Fe (0.3333, 0.6667, 0.6667)
Fe (0.6667, 0.3333, 0.3333)
Sn (0.0000, 0.0000, 0.5000)
Sn (0.3333, 0.6667, 0.1667)
Sn (0.6667, 0.3333, 0.8333)
Ge (0.0000, 0.0000, 0.3942)
Ge (0.0000, 0.0000, 0.6058)
Ge (0.3333, 0.6667, 0.0608)
Ge (0.3333, 0.6667, 0.2725)
Ge (0.6667, 0.3333, 0.7275)
Ge (0.6667, 0.3333, 0.9392)

[2]
Here is a relaxed structure of FeSnGe from Alexandria. Energies are from PBE-GGA.

Output
Energy in Ry/atom: -0.41353
Crystal system: monoclinic
SG: C2/m
Formation energy from the elements in meV per atom: 68

a b c (Å): 5.9665 5.9636 6.5002
angles (deg): 90.00 117.39 90.00
Fractional coordinates of all 12 atoms:
Fe (0.2500, 0.2500, 0.0000)
Fe (0.2500, 0.7500, 0.0000)
Fe (0.7500, 0.2500, 0.0000)
Fe (0.7500, 0.7500, 0.0000)
Sn (0.1437, 0.0000, 0.2865)
Sn (0.3563, 0.5000, 0.7135)
Sn (0.6437, 0.5000, 0.2865)
Sn (0.8563, 0.0000, 0.7135)
Ge (0.1210, 0.5000, 0.2407)
Ge (0.3790, 0.0000, 0.7593)
Ge (0.6210, 0.0000, 0.2407)
Ge (0.8790, 0.5000, 0.7593)

[3]
Here is a relaxed structure of FeSn2GeTe from Alexandria. Energies are from PBE-GGA.

Output
Energy in Ry/atom: -0.35875
Crystal system: tetragonal
SG: P4/mmm
Energy relative to the elements, uncorrected in kcal/mol of atoms: -0.8

a b c (Å): 5.0739 5.0739 4.5336
angles (deg): 90.00 90.00 90.00
Fractional coordinates of all 5 atoms:
Fe (0.0000, 0.0000, 0.0000)
Sn (0.0000, 0.5000, 0.0000)
Sn (0.5000, 0.0000, 0.0000)
Ge (0.0000, 0.0000, 0.5000)
Te (0.5000, 0.5000, 0.5000)